[1]
LiNiO2: PBEsol geometry, SCAN.

POSCAR file:
```
LiNiO2
1.0
-2.4566 0.3717 1.8860
-0.4338 -0.4467 -3.0565
-0.2364 -6.7022 1.0131
Li Ni O
1 1 2
Direct
0.0000 0.0000 0.5000
0.0000 0.0000 0.0000
0.0000 0.0000 0.2424
0.0000 0.0000 0.7576
```

## Properties
Formation energy without anion corrections in eV/atom: -0.62

[2]
LiNiO2: PBEsol geometry, SCAN.

POSCAR file:
```
LiNiO2
1.0
-2.5570 -1.2022 2.7433
-2.3053 -1.5129 -2.8118
4.4418 -2.2506 0.3271
Ni O Li
2 4 2
Direct
0.6250 0.3750 0.2500
0.3750 0.6250 0.7500
0.3988 0.1488 0.7977
0.8512 0.6012 0.7024
0.1488 0.3988 0.2976
0.6012 0.8512 0.2023
0.8752 0.1252 0.7503
0.1248 0.8748 0.2497
```

## Properties
Formation energy without anion corrections in eV/atom: -1.56

[3]
LiNiO2: PBEsol geometry, SCAN.

POSCAR file:
```
LiNiO2
1.0
-2.9040 -4.7393 -0.8061
1.8424 -0.2314 -5.2768
6.3934 -4.3295 2.4221
Li Ni O
8 8 16
Direct
0.2491 0.7500 0.7500
0.7509 0.2500 0.2500
0.2491 0.7500 0.2500
0.7509 0.2500 0.7500
0.5000 0.5000 0.0000
0.0000 0.0000 0.5000
0.0000 0.5000 0.0000
0.5000 0.0000 0.5000
0.2490 0.2500 0.7500
0.2490 0.2500 0.2500
0.7510 0.7500 0.7500
0.7510 0.7500 0.2500
0.5000 0.5000 0.5000
0.0000 0.0000 0.0000
0.0000 0.5000 0.5000
0.5000 0.0000 0.0000
0.2494 0.7252 0.5000
0.7506 0.2252 0.0000
0.2494 0.7748 0.0000
0.7506 0.2748 0.5000
0.2665 0.2384 0.0000
0.7335 0.7384 0.5000
0.2665 0.2616 0.5000
0.7335 0.7616 0.0000
0.0000 0.5000 0.2647
0.5000 0.0000 0.7679
0.5000 0.5000 0.2679
0.0000 0.0000 0.7647
0.5000 0.0000 0.2321
0.0000 0.5000 0.7353
0.0000 0.0000 0.2353
0.5000 0.5000 0.7321
```

## Properties
Formation energy without anion corrections in eV/atom: -1.61

[4]
LiNiO2: PBEsol geometry, SCAN.

POSCAR file:
```
LiNiO2
1.0
-1.5411 1.9672 1.3845
-2.8387 0.0715 -0.3138
-1.9312 -2.2251 3.9595
Ni O Li
1 2 1
Direct
0.0000 0.0000 0.0000
0.7405 0.7405 0.7786
0.2595 0.2595 0.2214
0.5000 0.5000 0.5000
```

## Properties
Formation energy without anion corrections in eV/atom: -1.62

[5]
Li3Ni4O8: PBEsol geometry, SCAN.

POSCAR file:
```
Li3Ni4O8
1.0
-0.7831 -2.9979 4.5670
-1.0931 -2.3847 -4.9887
5.2851 0.9933 1.3608
Li Ni O
3 4 8
Direct
0.0000 0.5000 0.5000
0.5000 0.5000 0.0000
0.0000 0.0000 0.5000
0.5000 0.5000 0.5000
0.0000 0.0000 0.0000
0.0000 0.5000 0.0000
0.5000 0.0000 0.0000
0.2708 0.5416 0.7708
0.7459 0.0000 0.7751
0.7744 0.5488 0.7744
0.2412 0.0000 0.7729
0.7588 0.0000 0.2271
0.2256 0.4512 0.2256
0.2541 0.0000 0.2249
0.7292 0.4584 0.2292
```

## Properties
Formation energy without anion corrections in eV/atom: -1.48
Energy above the lowest structure with this stoichiometry in kJ/mol of formula units: 62

[6]
LiNi4P3O12: PBEsol geometry, SCAN.

POSCAR file:
```
LiNi4P3O12
1.0
6.5214 0.0000 0.0000
0.0000 6.5214 0.0000
-3.2607 -3.2607 9.0542
Li Ni P O
2 8 6 24
Direct
0.2500 0.7500 0.5000
0.0000 0.0000 0.0000
0.2730 0.2730 0.5460
0.8707 0.3750 0.2500
0.9770 0.4770 0.9540
0.7270 0.7270 0.4540
0.6250 0.6207 0.7500
0.3793 0.8750 0.2500
0.5230 0.0230 0.0460
0.1250 0.1293 0.7500
0.6250 0.0232 0.7500
0.1250 0.7268 0.7500
0.9768 0.8750 0.2500
0.5000 0.5000 0.0000
0.2732 0.3750 0.2500
0.7500 0.2500 0.5000
0.9920 0.2428 0.5875
0.8400 0.1650 0.7911
0.4100 0.1239 0.7089
0.3739 0.1600 0.2089
0.0232 0.8096 0.6151
0.2268 0.9445 0.8849
0.5919 0.8055 0.6151
0.6581 0.9404 0.8849
0.7572 0.4044 0.4125
0.1904 0.4081 0.3849
0.0555 0.3419 0.1151
0.5947 0.3456 0.0875
0.4150 0.5900 0.2911
0.2580 0.4053 0.9125
0.6544 0.5072 0.9125
0.5956 0.3447 0.5875
0.8761 0.7012 0.2911
0.4928 0.7420 0.0875
0.0596 0.7732 0.1151
0.2988 0.5850 0.7089
0.9512 0.6261 0.7911
0.1945 0.9768 0.3849
0.6553 0.0080 0.4125
0.8350 0.0488 0.2089
```

## Properties
Formation energy without anion corrections in eV/atom: -2.09
Energy above the lowest structure with this stoichiometry in kJ/mol of formula units: 0

[7]
LiNiPO4: PBEsol geometry, SCAN.

POSCAR file:
```
LiNiPO4
1.0
4.7602 0.0000 0.0000
2.3801 4.1225 0.0000
2.3801 1.3742 7.7512
Li Ni P O
2 2 2 8
Direct
0.7177 0.7177 0.8470
0.2823 0.2823 0.1530
0.8377 0.8377 0.4868
0.1623 0.1623 0.5132
0.5750 0.5750 0.2751
0.4250 0.4250 0.7249
0.6392 0.6392 0.0823
0.3608 0.3608 0.9177
0.2491 0.5354 0.3429
0.4646 0.1274 0.6571
0.5354 0.8726 0.3429
0.7509 0.4646 0.6571
0.1274 0.7509 0.6571
0.8726 0.2491 0.3429
```

## Properties
Formation energy without anion corrections in eV/atom: -2.20
Energy above the lowest structure with this stoichiometry in kJ/mol of formula units: 41

[8]
Li2NiP5O15: PBEsol geometry, SCAN.

POSCAR file:
```
Li2NiP5O15
1.0
5.0803 0.0000 0.0547
0.0000 11.6262 0.0000
-0.6064 0.0000 11.2654
Li Ni P O
4 2 10 30
Direct
0.8650 0.5226 0.8975
0.6288 0.5234 0.6054
0.3650 0.4774 0.3975
0.1288 0.4766 0.1054
0.4979 0.0003 0.5008
0.9979 0.9997 0.0008
0.4730 0.1468 0.9379
0.3542 0.3857 0.8700
0.7480 0.0259 0.7508
0.1395 0.3860 0.6330
0.0228 0.1471 0.5638
0.9730 0.8532 0.4379
0.8542 0.6143 0.3700
0.2480 0.9741 0.2508
0.6395 0.6140 0.1330
0.5228 0.8529 0.0638
0.6657 0.0959 0.0269
0.1775 0.1304 0.9488
0.1293 0.4152 0.9459
0.5190 0.2822 0.9335
0.8861 0.9543 0.8457
0.5381 0.4790 0.8369
0.5419 0.1114 0.8052
0.2472 0.3208 0.7513
0.9551 0.1109 0.6964
0.9545 0.4787 0.6666
0.6092 0.9546 0.6558
0.9759 0.2825 0.5689
0.3641 0.4164 0.5572
0.3182 0.1311 0.5525
0.8299 0.0965 0.4747
0.1657 0.9041 0.5269
0.6775 0.8696 0.4488
0.6293 0.5848 0.4459
0.0190 0.7178 0.4335
0.3861 0.0457 0.3457
0.0381 0.5210 0.3369
0.0419 0.8886 0.3052
0.7472 0.6792 0.2513
0.4551 0.8891 0.1964
0.4545 0.5213 0.1666
0.1092 0.0454 0.1558
0.4759 0.7175 0.0689
0.8641 0.5836 0.0572
0.8182 0.8689 0.0525
0.3299 0.9035 0.9747
```

## Properties
Formation energy without anion corrections in eV/atom: -2.26
Energy above the lowest structure with this stoichiometry in kJ/mol of formula units: 0

[9]
Li3NiP2O8: PBEsol geometry, SCAN.

POSCAR file:
```
Li3NiP2O8
1.0
-0.9263 2.1665 4.0835
-5.7426 -2.5275 -0.4062
5.6351 -14.2208 8.8231
Li O P Ni
12 32 8 4
Direct
0.8135 0.1483 0.3063
0.7791 0.4862 0.1151
0.7209 0.0138 0.6151
0.7760 0.7757 0.4400
0.7240 0.7243 0.9400
0.6865 0.3517 0.8063
0.3135 0.6483 0.1937
0.2760 0.2757 0.0600
0.2240 0.2243 0.5600
0.2791 0.9862 0.3849
0.2209 0.5138 0.8849
0.1865 0.8517 0.6937
0.8568 0.4357 0.9324
0.0228 0.5346 0.6903
0.0605 0.1362 0.6695
0.1068 0.2751 0.4380
0.0007 0.8634 0.7982
0.9772 0.4654 0.3097
0.9395 0.8638 0.3305
0.8932 0.7249 0.5620
0.8622 0.0327 0.9302
0.9993 0.1366 0.2018
0.8880 0.6946 0.1992
0.7901 0.2770 0.5502
0.7099 0.2230 0.0502
0.6432 0.0643 0.4324
0.6378 0.4673 0.4302
0.6120 0.8054 0.6992
0.1378 0.9673 0.0698
0.5605 0.6362 0.8305
0.5228 0.0346 0.8097
0.5007 0.3634 0.7018
0.4993 0.6366 0.2982
0.4772 0.9654 0.1903
0.4395 0.3638 0.1695
0.3932 0.2249 0.9380
0.3880 0.1946 0.3008
0.3622 0.5327 0.5698
0.3568 0.9357 0.5676
0.2901 0.7770 0.9498
0.2099 0.7230 0.4498
0.1120 0.3054 0.8008
0.1432 0.5643 0.0676
0.6068 0.7751 0.0620
0.1710 0.3286 0.7144
0.2181 0.7295 0.5375
0.2819 0.7705 0.0375
0.3290 0.1714 0.2144
0.8290 0.6714 0.2856
0.7819 0.2705 0.4625
0.6710 0.8286 0.7856
0.7181 0.2295 0.9625
0.8051 0.9621 0.1295
0.6949 0.5379 0.6295
0.3051 0.4621 0.3705
0.1949 0.0379 0.8705
```

## Properties
Formation energy without anion corrections in eV/atom: -2.30
Energy above the lowest structure with this stoichiometry in kJ/mol of formula units: 0

[10]
LiNi4P3O12: PBEsol geometry, SCAN.

POSCAR file:
```
LiNi4P3O12
1.0
-5.3224 1.2313 -3.0860
3.7102 -2.8128 -7.5212
-4.6249 -13.1905 2.7136
Li Ni P O
4 16 12 48
Direct
0.5000 0.6535 0.6838
0.0000 0.8402 0.8397
0.0000 0.8462 0.1709
0.0000 0.8476 0.5065
0.2556 0.9990 0.6690
0.7502 0.9945 0.0004
0.2498 0.9945 0.0004
0.7498 0.0070 0.3328
0.2502 0.0070 0.3328
0.7444 0.9990 0.6690
0.5000 0.1494 0.1503
0.0000 0.3560 0.9888
0.0000 0.3458 0.6469
0.7507 0.5049 0.1673
0.2493 0.5049 0.1673
0.7473 0.5021 0.8321
0.2527 0.5021 0.8321
0.7463 0.4937 0.4980
0.2537 0.4937 0.4980
0.5000 0.6470 0.3492
0.0000 0.1770 0.4890
0.0000 0.1835 0.1651
0.0000 0.1766 0.8209
0.5000 0.3256 0.3209
0.5000 0.3121 0.6657
0.5000 0.3205 0.9941
0.0000 0.6820 0.3372
0.0000 0.6767 0.0085
0.0000 0.6809 0.6714
0.5000 0.8227 0.1754
0.5000 0.8204 0.8421
0.5000 0.8251 0.5079
0.8001 0.1187 0.1162
0.7944 0.1232 0.4454
0.7949 0.1144 0.7811
0.2051 0.1144 0.7811
0.2056 0.1232 0.4454
0.1999 0.1187 0.1162
0.0000 0.1325 0.2680
0.0000 0.1305 0.5986
0.0000 0.1471 0.9319
0.5000 0.1453 0.2987
0.5000 0.1432 0.9930
0.5000 0.1387 0.6492
0.0000 0.3579 0.1356
0.0000 0.3572 0.4933
0.0000 0.3557 0.7995
0.5000 0.3677 0.1015
0.5000 0.3785 0.4263
0.5000 0.3754 0.7675
0.7062 0.3799 0.2758
0.6994 0.3766 0.6157
0.7026 0.3785 0.9471
0.3006 0.3766 0.6157
0.2974 0.3785 0.9471
0.2938 0.3799 0.2758
0.7960 0.6190 0.0538
0.7988 0.6184 0.3845
0.7973 0.6193 0.7167
0.2040 0.6190 0.0538
0.2012 0.6184 0.3845
0.2027 0.6193 0.7167
0.0000 0.6403 0.2312
0.0000 0.6312 0.9010
0.0000 0.6373 0.5646
0.5000 0.6452 0.2010
0.5000 0.6432 0.8502
0.5000 0.6452 0.5164
0.0000 0.8571 0.6907
0.0000 0.8556 0.0250
0.0000 0.8564 0.3595
0.5000 0.8652 0.7346
0.5000 0.8642 0.3990
0.5000 0.8725 0.0709
0.2952 0.8802 0.5534
0.2940 0.8806 0.2209
0.2936 0.8772 0.8870
0.7060 0.8806 0.2209
0.7048 0.8802 0.5534
0.7064 0.8772 0.8870
```

## Properties
Formation energy without anion corrections in eV/atom: -2.05
Energy above the lowest structure with this stoichiometry in kJ/mol of formula units: 71

[11]
Li3Ni2P3O12: PBEsol geometry, SCAN.

POSCAR file:
```
Li3Ni2P3O12
1.0
8.2258 0.0000 0.0000
4.1129 7.1237 0.0000
4.1129 2.3746 7.2658
Li Ni P O
6 4 6 24
Direct
0.9241 0.2574 0.1447
0.0759 0.7426 0.8553
0.7426 0.3262 0.8553
0.3262 0.0759 0.8553
0.2574 0.6738 0.1447
0.6738 0.9241 0.1447
0.8575 0.8575 0.4275
0.3483 0.3483 0.9552
0.6517 0.6517 0.0448
0.1425 0.1425 0.5725
0.2579 0.9586 0.2509
0.5327 0.2579 0.2509
0.7421 0.0414 0.7491
0.0414 0.4673 0.7491
0.4673 0.7421 0.7491
0.9586 0.5327 0.2509
0.2158 0.1642 0.0900
0.5012 0.5213 0.8010
0.1195 0.2533 0.7507
0.7955 0.0169 0.5683
0.8236 0.4988 0.1990
0.1235 0.8805 0.2493
0.5299 0.2158 0.0900
0.3807 0.2045 0.4317
0.5213 0.1764 0.8010
0.8358 0.4701 0.9100
0.2533 0.8765 0.7507
0.7467 0.1235 0.2493
0.1764 0.5012 0.8010
0.0169 0.6193 0.5683
0.9831 0.3807 0.4317
0.4787 0.8236 0.1990
0.7842 0.8358 0.9100
0.8805 0.7467 0.2493
0.8765 0.1195 0.7507
0.6193 0.7955 0.5683
0.2045 0.9831 0.4317
0.1642 0.5299 0.0900
0.4988 0.4787 0.1990
0.4701 0.7842 0.9100
```

## Properties
Formation energy without anion corrections in eV/atom: -2.16
Energy above the lowest structure with this stoichiometry in kJ/mol of formula units: 31